# 1
Here is a relaxed structure of Ce4Sb2H from Alexandria. Energies are from PBE.

Summary:
E_tot   -5.78 eV/atom
Mass density   7.5 g cm⁻³
Symmetry   I4/mmm
ΔE to the lowest computed polymorph   0 meV per atom

Lattice parameters (Å, degrees): 9.1738 9.1738 9.1738 151.16 151.16 41.25
Element x y z (fractional)
Ce  0.0000  0.5000  0.5000
Ce  0.1719  0.1719  0.0000
Ce  0.5000  0.0000  0.5000
Ce  0.8281  0.8281  0.0000
Sb  0.3609  0.3609  0.0000
Sb  0.6391  0.6391  0.0000
H  0.0000  0.0000  0.0000

***

# 2
Here is a relaxed structure of Cs3Tb2BiTe6 from Alexandria. Energies are from PBE.

Summary:
E_tot   -4.01 eV/atom
Mass density   5.7 g cm⁻³
Symmetry   C2/m
Formation energy without anion corrections   -1134 meV per atom

Lattice parameters (Å, degrees): 7.9840 7.9840 9.3002 98.23 98.23 120.00
Element x y z (fractional)
Cs  0.0000  0.0000  0.0000
Cs  0.3344  0.6656  0.0000
Cs  0.6656  0.3344  0.0000
Tb  0.1668  0.8332  0.5000
Tb  0.8332  0.1668  0.5000
Bi  0.5000  0.5000  0.5000
Te  0.0985  0.4364  0.3093
Te  0.2255  0.2255  0.6904
Te  0.4364  0.0985  0.3093
Te  0.5636  0.9015  0.6907
Te  0.7745  0.7745  0.3096
Te  0.9015  0.5636  0.6907

***

# 3
Here is a relaxed structure of HgSbTe2 from Alexandria. Energies are from PBE.

Summary:
E_tot   -2.66 eV/atom
Mass density   5.9 g cm⁻³
Symmetry   R-3m
ΔE to the lowest computed polymorph   98 meV per atom
Formation energy without anion corrections   19 meV per atom

Lattice parameters (Å, degrees): 11.4662 11.4662 11.4662 20.55 20.55 20.55
Element x y z (fractional)
Hg  0.0000  0.0000  0.0000
Sb  0.5000  0.5000  0.5000
Te  0.1110  0.1110  0.1110
Te  0.8890  0.8890  0.8890

***

# 4
Here is a relaxed structure of NbAgGeSe2 from Alexandria. Energies are from PBE.

Summary:
E_tot   -4.03 eV/atom
Mass density   5.6 g cm⁻³
Symmetry   P4/mmm
Formation energy without anion corrections   869 meV per atom

Lattice parameters (Å, degrees): 5.0389 5.0389 5.0053 90.00 90.00 90.00
Element x y z (fractional)
Nb  0.0000  0.0000  0.0000
Ag  0.5000  0.5000  0.0000
Ge  0.0000  0.0000  0.5000
Se  0.0000  0.5000  0.5000
Se  0.5000  0.0000  0.5000

***

# 5
Here is a relaxed structure of In3Ir from Alexandria. Energies are from PBE.

Summary:
E_tot   -4.03 eV/atom
Mass density   11.0 g cm⁻³
Symmetry   Pm-3m
Energy of formation from the pure elements   238 meV/atom

Lattice parameters (Å, degrees): 4.3287 4.3287 4.3287 90.00 90.00 90.00
Element x y z (fractional)
In  0.0000  0.0000  0.5000
In  0.0000  0.5000  0.0000
In  0.5000  0.0000  0.0000
Ir  0.5000  0.5000  0.5000

***

# 6
Here is a relaxed structure of Rb3Cu2RhBr9 from Alexandria. Energies are from PBE.

Summary:
E_tot   -3.10 eV/atom
Mass density   4.6 g cm⁻³
Symmetry   P-3m1
Formation energy without anion corrections   -865 meV per atom

Lattice parameters (Å, degrees): 7.4136 7.4136 9.0577 90.00 90.00 120.00
Element x y z (fractional)
Rb  0.0000  0.0000  0.0000
Rb  0.3333  0.6667  0.6645
Rb  0.6667  0.3333  0.3355
Cu  0.3333  0.6667  0.1490
Cu  0.6667  0.3333  0.8510
Rh  0.0000  0.0000  0.5000
Br  0.0000  0.5000  0.0000
Br  0.1629  0.3259  0.3380
Br  0.1629  0.8371  0.3380
Br  0.3259  0.1629  0.6620
Br  0.5000  0.0000  0.0000
Br  0.5000  0.5000  0.0000
Br  0.6741  0.8371  0.3380
Br  0.8371  0.1629  0.6620
Br  0.8371  0.6741  0.6620

***

# 7
Here is a relaxed structure of CaMgTe2N from Alexandria. Energies are from PBE.

Summary:
E_tot   -3.72 eV/atom
Mass density   4.1 g cm⁻³
Symmetry   P4/mmm
ΔE to the lowest computed polymorph   0 meV per atom
Formation energy without anion corrections   -83 meV per atom

Lattice parameters (Å, degrees): 5.8046 5.8046 3.9671 90.00 90.00 90.00
Element x y z (fractional)
Ca  0.0000  0.0000  0.0000
Mg  0.5000  0.5000  0.5000
Te  0.0000  0.5000  0.5000
Te  0.5000  0.0000  0.5000
N  0.5000  0.5000  0.0000

***

# 8
Here is a relaxed structure of Dy4Y10Pu from Alexandria. Energies are from PBE.

Summary:
E_tot   -6.10 eV/atom
Mass density   6.0 g cm⁻³
Symmetry   I4/m
Energy of formation from the pure elements   393 meV/atom

Lattice parameters (Å, degrees): 8.6458 8.6458 8.6458 111.38 111.38 105.72
Element x y z (fractional)
Dy  0.0658  0.6723  0.7381
Dy  0.3277  0.0658  0.3934
Dy  0.6723  0.9342  0.6066
Dy  0.9342  0.3277  0.2619
Y  0.1280  0.2257  0.6748
Y  0.2257  0.5509  0.0976
Y  0.2500  0.7500  0.5000
Y  0.4491  0.5468  0.6748
Y  0.4532  0.1280  0.9024
Y  0.5468  0.8720  0.0976
Y  0.5509  0.4532  0.3252
Y  0.7500  0.2500  0.5000
Y  0.7743  0.4491  0.9024
Y  0.8720  0.7743  0.3252
Pu  0.0000  0.0000  0.0000

***

# 9
Here is a relaxed structure of Al2CoPb from Alexandria. Energies are from PBE.

Summary:
E_tot   -4.44 eV/atom
Mass density   7.1 g cm⁻³
Symmetry   Pm
Energy of formation from the pure elements   131 meV/atom

Lattice parameters (Å, degrees): 3.5561 4.0414 5.4221 90.00 106.64 90.00
Element x y z (fractional)
Al  0.0000  0.0000  0.0000
Al  0.4592  0.5000  0.9119
Co  0.1055  0.5000  0.2384
Pb  0.6924  0.0000  0.4642

***

# 10
Here is a relaxed structure of La2Rh2I from Alexandria. Energies are from PBE.

Summary:
E_tot   -5.79 eV/atom
Mass density   7.6 g cm⁻³
Symmetry   P4/mbm
ΔE to the lowest computed polymorph   362 meV per atom
Formation energy without anion corrections   -572 meV per atom

Lattice parameters (Å, degrees): 8.4598 8.4598 3.7386 90.00 90.00 90.00
Element x y z (fractional)
La  0.1574  0.3426  0.0000
La  0.3426  0.8426  0.0000
La  0.6574  0.1574  0.0000
La  0.8426  0.6574  0.0000
Rh  0.1166  0.6166  0.5000
Rh  0.3834  0.1166  0.5000
Rh  0.6166  0.8834  0.5000
Rh  0.8834  0.3834  0.5000
I  0.0000  0.0000  0.0000
I  0.5000  0.5000  0.0000

***

# 11
Here is a relaxed structure of LaY2SnH from Alexandria. Energies are from PBE.

Summary:
E_tot   -5.55 eV/atom
Mass density   6.2 g cm⁻³
Symmetry   P4/mmm

Lattice parameters (Å, degrees): 4.9643 4.9643 4.7736 90.00 90.00 90.00
Element x y z (fractional)
La  0.0000  0.0000  0.0000
Y  0.0000  0.5000  0.5000
Y  0.5000  0.0000  0.5000
Sn  0.5000  0.5000  0.0000
H  0.0000  0.0000  0.5000

***

# 12
Here is a relaxed structure of LaZn2Ru from Alexandria. Energies are from PBE.

Summary:
E_tot   -4.50 eV/atom
Mass density   7.6 g cm⁻³
Symmetry   C2/c
Energy of formation from the pure elements   -309 meV/atom

Lattice parameters (Å, degrees): 6.5774 6.5774 5.0143 101.01 101.01 125.15
Element x y z (fractional)
La  0.1386  0.8614  0.7500
La  0.8614  0.1386  0.2500
Zn  0.2956  0.4860  0.9480
Zn  0.4860  0.2956  0.4480
Zn  0.5140  0.7044  0.5520
Zn  0.7044  0.5140  0.0520
Ru  0.2152  0.7848  0.2500
Ru  0.7848  0.2152  0.7500

***

Q: E_tot of number 4 (NbAgGeSe2)?
A: -4.03 eV/atom

***

Q: What is the E_tot in the ninth record?
A: -4.44 eV/atom